Record 1
VASP calculation (PBE with a Hubbard U) on a geometry-optimized MnTlF4 structure.

```
data_MnTlF4
_cell_length_a 13.522
_cell_length_b 5.483
_cell_length_c 5.611
_cell_angle_alpha 90.00
_cell_angle_beta 110.65
_cell_angle_gamma 90.00
_space_group_name_H-M_alt 'C 1 2/c 1'
_space_group_IT_number 15
loop_
_space_group_symop_operation_xyz
'x,y,z'
'-x,-y,-z'
'-x,y,-z+1/2'
'x,-y,z+1/2'
'x+1/2,y+1/2,z'
'-x+1/2,-y+1/2,-z'
'-x+1/2,y+1/2,-z+1/2'
'x+1/2,-y+1/2,z+1/2'
loop_
_atom_site_label
_atom_site_type_symbol
_atom_site_fract_x
_atom_site_fract_y
_atom_site_fract_z
Mn1 Mn 0.250 0.250 0.000
Tl1 Tl 0.000 0.232 0.250
F1 F 0.110 0.356 0.916
F2 F 0.207 0.054 0.699
```

Computed properties:
Its final energy is -5.1896 eV per atom. The value obtained for the calculated density is 5.721 g cm⁻³.

***

Record 2
VASP calculation (PBE with a Hubbard U) on a geometry-optimized TaWNF2 structure.

```
data_TaWNF2
_cell_length_a 4.205
_cell_length_b 4.205
_cell_length_c 4.120
_cell_angle_alpha 90.00
_cell_angle_beta 90.00
_cell_angle_gamma 90.00
_space_group_name_H-M_alt 'P 4/m m m'
_space_group_IT_number 123
_space_group_name_Hall '-P 4 2'
loop_
_atom_site_label
_atom_site_type_symbol
_atom_site_fract_x
_atom_site_fract_y
_atom_site_fract_z
Ta1 Ta 0.000 0.000 0.000
W1 W 0.500 0.500 0.500
N1 N 0.000 0.000 0.500
F1 F 0.000 0.500 0.000
```

Computed properties:
Its final energy is -6.8127 eV per atom. The calculation puts the energy relative to the lowest polymorph listed for this composition at 0.0 meV per atom. The value obtained for the calculated density is 9.500 g cm⁻³.